Record 1
Below is crystalline InRe3N2 at its relaxed geometry, with properties calculated at the PBE-GGA level.

- crystal system = tetragonal
- spin magnetization (Bohr magnetons per cell) = 0.2

Unit cell a=3.887 b=3.887 c=5.353 alpha=90.00 beta=90.00 gamma=90.00
Space group P-4m2 (No. 115)
Symmetry-distinct sites (fractional):
In: 0.000 0.000 0.000 [1 per cell]
Re: 0.000 0.500 0.408 [2 per cell]
Re: 0.500 0.500 0.000 [1 per cell]
N: 0.000 0.500 0.760 [2 per cell]



Record 2
Below is crystalline Ta4InSN2 at its relaxed geometry, with properties calculated at the PBE-GGA level.

- crystal system = hexagonal
- spin magnetization (Bohr magnetons per cell) = 0.0

Unit cell a=3.0661 b=3.0661 c=13.8160 alpha=90.00 beta=90.00 gamma=120.00
Space group P-6m2 (No. 187)
Symmetry-distinct sites (fractional):
Ta: 0.0000 0.0000 0.1306 [2 per cell]
Ta: 0.6667 0.3333 0.3246 [2 per cell]
In: 0.0000 0.0000 0.5000 [1 per cell]
S: 0.6667 0.3333 0.0000 [1 per cell]
N: 0.3333 0.6667 0.2289 [2 per cell]



Record 3
Below is crystalline Ta4InSN2 at its relaxed geometry, with properties calculated at the PBE-GGA level.

- crystal system = hexagonal
- spin magnetization (Bohr magnetons per cell) = 0.0

Unit cell a=3.0661 b=3.0661 c=13.8161 alpha=90.00 beta=90.00 gamma=120.00
Space group P-6m2 (No. 187)
Symmetry-distinct sites (fractional):
Ta: 0.0000 0.0000 0.1307 [2 per cell]
Ta: 0.3333 0.6667 0.3246 [2 per cell]
In: 0.0000 0.0000 0.5000 [1 per cell]
S: 0.3333 0.6667 0.0000 [1 per cell]
N: 0.6667 0.3333 0.2289 [2 per cell]



Record 4
Below is crystalline InW4SN2 at its relaxed geometry, with properties calculated at the PBE-GGA level.

- crystal system = hexagonal
- spin magnetization (Bohr magnetons per cell) = 0.0

Unit cell a=2.9177 b=2.9177 c=14.3893 alpha=90.00 beta=90.00 gamma=120.00
Space group P-6m2 (No. 187)
Symmetry-distinct sites (fractional):
In: 0.0000 0.0000 0.0000 [1 per cell]
W: 0.0000 0.0000 0.3699 [2 per cell]
W: 0.3333 0.6667 0.1707 [2 per cell]
S: 0.3333 0.6667 0.5000 [1 per cell]
N: 0.6667 0.3333 0.2671 [2 per cell]



Record 5
Below is crystalline Ta4InSbN2 at its relaxed geometry, with properties calculated at the PBE-GGA level.

- crystal system = hexagonal
- spin magnetization (Bohr magnetons per cell) = 0.0

Unit cell a=3.2545 b=3.2545 c=13.6150 alpha=90.00 beta=90.00 gamma=120.00
Space group P-6m2 (No. 187)
Symmetry-distinct sites (fractional):
Ta: 0.0000 0.0000 0.1647 [2 per cell]
Ta: 0.3333 0.6667 0.3280 [2 per cell]
In: 0.0000 0.0000 0.5000 [1 per cell]
Sb: 0.3333 0.6667 0.0000 [1 per cell]
N: 0.6667 0.3333 0.2449 [2 per cell]



Record 6
Below is crystalline Sc4Ta2In3N3 at its relaxed geometry, with properties calculated at the PBE-GGA level.

- crystal system = monoclinic
- spin magnetization (Bohr magnetons per cell) = 0.0

Unit cell a=9.728 b=5.640 c=14.722 alpha=90.00 beta=102.74 gamma=90.00
Space group C2/c (No. 15)
Symmetry-distinct sites (fractional):
Sc: 0.112 0.078 0.084 [8 per cell]
Sc: 0.219 0.087 0.416 [8 per cell]
Ta: 0.060 0.415 0.926 [8 per cell]
In: 0.000 0.102 0.750 [4 per cell]
In: 0.157 0.426 0.249 [8 per cell]
N: 0.082 0.252 0.500 [8 per cell]
N: 0.250 0.250 0.000 [4 per cell]



Record 7
Below is crystalline Sc2In3W4N3 at its relaxed geometry, with properties calculated at the PBE-GGA level.

- crystal system = monoclinic
- spin magnetization (Bohr magnetons per cell) = 0.0

Unit cell a=9.587 b=5.597 c=14.073 alpha=90.00 beta=102.68 gamma=90.00
Space group C2/c (No. 15)
Symmetry-distinct sites (fractional):
Sc: 0.055 0.084 0.408 [8 per cell]
In: 0.000 0.452 0.250 [4 per cell]
In: 0.184 0.105 0.748 [8 per cell]
W: 0.110 0.432 0.573 [8 per cell]
W: 0.218 0.411 0.926 [8 per cell]
N: 0.077 0.232 0.000 [8 per cell]
N: 0.250 0.250 0.500 [4 per cell]



Record 8
Below is crystalline InSiW4N2 at its relaxed geometry, with properties calculated at the PBE-GGA level.

- crystal system = hexagonal
- spin magnetization (Bohr magnetons per cell) = 0.0

Unit cell a=2.9139 b=2.9139 c=14.5375 alpha=90.00 beta=90.00 gamma=120.00
Space group P-6m2 (No. 187)
Symmetry-distinct sites (fractional):
In: 0.0000 0.0000 0.0000 [1 per cell]
Si: 0.6667 0.3333 0.5000 [1 per cell]
W: 0.0000 0.0000 0.3647 [2 per cell]
W: 0.6667 0.3333 0.1689 [2 per cell]
N: 0.3333 0.6667 0.2639 [2 per cell]



E for the records above, in order: -48.7; -75.4; -75.4; -73.1; -73.8; -377.7; -405.3; -74.8 eV per cell
Theoretical density for the records above, in order: 14.4; 13.3; 13.3; 14.2; 13.1; 7.8; 10.9; 14.1 g/cm³